(1)
PBE Na2Zn12Ag5, optimized geometry; magnetization = 0.00 μB per formula unit; DFT total energy = -1.712 eV/atom; E_form = -0.018 eV per atom
1.0
6.9444 0.0945 0.6869
0.6315 6.9163 0.6869
0.1022 0.0945 6.9776
Na Zn Ag
2 12 5
Direct
0.6601 0.6601 0.6601
0.3399 0.3399 0.3399
0.3529 0.8382 0.3529
0.6966 0.3034 0.0000
0.6471 0.1618 0.6471
0.8382 0.3529 0.3529
0.3529 0.3529 0.8382
0.6966 0.0000 0.3034
0.3034 0.6966 0.0000
0.0000 0.3034 0.6966
0.0000 0.6966 0.3034
0.3034 0.0000 0.6966
0.1618 0.6471 0.6471
0.6471 0.6471 0.1618
0.0000 0.0000 0.5000
0.8963 0.8963 0.8963
0.5000 0.0000 0.0000
0.1037 0.1037 0.1037
0.0000 0.5000 0.0000



(2)
PBE NaZn5Ag7, optimized geometry; magnetization = 0.00 μB per formula unit; DFT total energy = -2.179 eV/atom; E_form = -0.052 eV per atom
1.0
-1.3818 -3.1859 3.9986
-5.0165 -4.6268 -1.9128
3.9137 -5.9068 0.1533
Zn Ag Na
5 7 1
Direct
0.0016 0.9960 0.5011
0.5013 0.5011 0.9960
0.0016 0.5011 0.9960
0.7246 0.7754 0.7754
0.5013 0.9960 0.5011
0.9992 0.3466 0.6549
0.6486 0.3514 0.3514
0.3417 0.6583 0.6583
0.5037 0.2028 0.7898
0.5037 0.7898 0.2028
0.2771 0.2229 0.2229
0.9992 0.6549 0.3466
0.9963 0.0037 0.0037



(3)
PBE Na3Zn2Ag4, optimized geometry; magnetization = 0.00 μB per formula unit; DFT total energy = -1.998 eV/atom; E_form = -0.008 eV per atom
1.0
-4.3364 0.6370 -1.1369
1.7628 -5.3688 -0.7147
-2.3113 -0.4529 8.5618
Zn Ag Na
2 4 3
Direct
0.6811 0.3621 0.7715
0.3189 0.6379 0.2285
0.9125 0.8249 0.3636
0.0875 0.1751 0.6364
0.2719 0.5437 0.9127
0.7281 0.4563 0.0873
0.0000 0.0000 0.0000
0.3766 0.7532 0.6071
0.6234 0.2468 0.3929



(4)
PBE NaZn5Ag4, optimized geometry; magnetization = 0.00 μB per formula unit; DFT total energy = -1.911 eV/atom; E_form = -0.002 eV per atom
1.0
-2.8177 0.3951 -2.5120
1.6274 -1.3367 -2.0357
-5.8190 -13.7350 4.3666
Zn Na Ag
5 1 4
Direct
0.5000 0.5000 0.6888
0.5000 0.5000 0.1269
0.5000 0.5000 0.5000
0.5000 0.5000 0.3112
0.5000 0.5000 0.8731
0.0000 0.0000 0.0000
0.0000 0.0000 0.4051
0.0000 0.0000 0.7870
0.0000 0.0000 0.5949
0.0000 0.0000 0.2130



(5)
PBE Na3Zn4Ag4, optimized geometry; magnetization = 0.00 μB per formula unit; DFT total energy = -1.867 eV/atom; E_form = -0.008 eV per atom
1.0
-2.9971 -2.6985 2.1507
4.5518 -0.8289 5.3031
-3.5536 7.4555 -0.4543
Zn Ag Na
4 4 3
Direct
0.6766 0.4881 0.3532
0.3234 0.5119 0.6468
0.6766 0.8650 0.3532
0.3234 0.1350 0.6468
0.7839 0.2839 0.5678
0.5000 0.8017 0.0000
0.2161 0.7161 0.4322
0.5000 0.1983 0.0000
0.1228 0.1228 0.2456
0.0000 0.5000 0.0000
0.8772 0.8772 0.7544



(6)
PBE Na3Zn4Ag2, optimized geometry; magnetization = 0.00 μB per formula unit; DFT total energy = -1.665 eV/atom; E_form = -0.025 eV per atom
1.0
-0.2569 4.6307 -0.2346
-5.1870 -2.6257 -0.1892
1.5064 0.4606 7.4442
Zn Na Ag
4 3 2
Direct
0.1317 0.2635 0.5689
0.8683 0.7365 0.4311
0.7368 0.4737 0.0759
0.2632 0.5263 0.9241
0.0000 0.0000 0.0000
0.5447 0.0895 0.3099
0.4553 0.9105 0.6901
0.2546 0.5092 0.2842
0.7454 0.4908 0.7158



(7)
PBE NaZn9Ag2, optimized geometry; magnetization = 0.00 μB per formula unit; DFT total energy = -1.572 eV/atom; E_form = -0.031 eV per atom
1.0
4.9328 0.0000 1.4681
2.2479 4.3908 1.4681
-0.0106 -0.0065 9.0567
Zn Na Ag
9 1 2
Direct
0.5000 0.5000 0.5000
0.3332 0.3332 0.0003
0.6668 0.6668 0.9997
0.0819 0.5875 0.7430
0.5875 0.5875 0.7430
0.9181 0.4125 0.2570
0.4125 0.4125 0.2570
0.4125 0.9181 0.2570
0.5875 0.0819 0.7430
0.0000 0.0000 0.0000
0.8569 0.8569 0.4294
0.1431 0.1431 0.5706



(8)
PBE NaZn6Ag, optimized geometry; magnetization = 0.00 μB per formula unit; DFT total energy = -1.372 eV/atom; E_form = 0.105 eV per atom
1.0
5.1461 0.0000 0.0000
0.0000 5.1461 0.0000
0.0000 0.0000 5.1461
Zn Na Ag
6 1 1
Direct
0.5000 0.2486 0.0000
0.7514 0.0000 0.5000
0.2486 0.0000 0.5000
0.0000 0.5000 0.2486
0.0000 0.5000 0.7514
0.5000 0.7514 0.0000
0.5000 0.5000 0.5000
0.0000 0.0000 0.0000